## CePr2Br2N2 (PBE)

Data for an optimized crystal structure of CePr2Br2N2.

Cell: 4.543 4.543 8.828 Å, 104.91 104.91 90.00°
Site moments in Bohr magnetons follow the coordinates.
Sites, in units of the cell vectors:
Ce: 0.000 0.000 0.000  0.39
Pr: 0.406 0.406 0.813  0.38
Pr: 0.594 0.594 0.187  0.38
Br: 0.184 0.184 0.368  0.01
Br: 0.816 0.816 0.632  0.01
N: 0.000 0.500 0.000  -0.04
N: 0.500 0.000 0.000  -0.04

Results
final energy	-6.352	eV per atom
space group	I4/mmm
N(E_F)	4.72	states/eV/f.u.
formation energy without anion corrections	-123.73	kJ per mole of atoms


## Li5HgAu2 (PBE)

Data for an optimized crystal structure of Li5HgAu2.

Cell: 4.454 4.454 7.336 Å, 107.67 107.67 90.00°
Sites, in units of the cell vectors:
Li: 0.500 0.500 0.000
Li: 0.863 0.363 0.726
Li: 0.363 0.863 0.726
Li: 0.137 0.637 0.274
Li: 0.637 0.137 0.274
Hg: 0.000 0.000 0.000
Au: 0.747 0.747 0.494
Au: 0.253 0.253 0.506

Results
E_form	-0.430	eV/atom
final energy	-2.483	eV per atom
space group	I4/mmm
N(E_F)	2.25	states/eV/f.u.


Q: Which formula does entry 2 have?
A: Li5HgAu2


What did the second record say?
## Li5HgAu2 (PBE)

Data for an optimized crystal structure of Li5HgAu2.

Cell: 4.454 4.454 7.336 Å, 107.67 107.67 90.00°
Sites, in units of the cell vectors:
Li: 0.500 0.500 0.000
Li: 0.863 0.363 0.726
Li: 0.363 0.863 0.726
Li: 0.137 0.637 0.274
Li: 0.637 0.137 0.274
Hg: 0.000 0.000 0.000
Au: 0.747 0.747 0.494
Au: 0.253 0.253 0.506

Results
E_form	-0.430	eV/atom
final energy	-2.483	eV per atom
space group	I4/mmm
N(E_F)	2.25	states/eV/f.u.


What did the first record say?
## CePr2Br2N2 (PBE)

Data for an optimized crystal structure of CePr2Br2N2.

Cell: 4.543 4.543 8.828 Å, 104.91 104.91 90.00°
Site moments in Bohr magnetons follow the coordinates.
Sites, in units of the cell vectors:
Ce: 0.000 0.000 0.000  0.39
Pr: 0.406 0.406 0.813  0.38
Pr: 0.594 0.594 0.187  0.38
Br: 0.184 0.184 0.368  0.01
Br: 0.816 0.816 0.632  0.01
N: 0.000 0.500 0.000  -0.04
N: 0.500 0.000 0.000  -0.04

Results
final energy	-6.352	eV per atom
space group	I4/mmm
N(E_F)	4.72	states/eV/f.u.
formation energy without anion corrections	-123.73	kJ per mole of atoms


Please write out number 1 again, unchanged.
## CePr2Br2N2 (PBE)

Data for an optimized crystal structure of CePr2Br2N2.

Cell: 4.543 4.543 8.828 Å, 104.91 104.91 90.00°
Site moments in Bohr magnetons follow the coordinates.
Sites, in units of the cell vectors:
Ce: 0.000 0.000 0.000  0.39
Pr: 0.406 0.406 0.813  0.38
Pr: 0.594 0.594 0.187  0.38
Br: 0.184 0.184 0.368  0.01
Br: 0.816 0.816 0.632  0.01
N: 0.000 0.500 0.000  -0.04
N: 0.500 0.000 0.000  -0.04

Results
final energy	-6.352	eV per atom
space group	I4/mmm
N(E_F)	4.72	states/eV/f.u.
formation energy without anion corrections	-123.73	kJ per mole of atoms